# LiZrAl PBE optimized geometry
data_LiZrAl
_chemical_formula_sum 'Li2 Zr2 Al2'
_cell_length_a 3.056
_cell_length_b 3.043
_cell_length_c 12.134
_cell_angle_alpha 90.00
_cell_angle_beta 90.05
_cell_angle_gamma 90.00
_symmetry_space_group_name_H-M 'P 1 m 1'
_symmetry_Int_Tables_number 6
loop_
_symmetry_equiv_pos_as_xyz
'x,y,z'
'x,-y,z'
loop_
_atom_site_label
_atom_site_fract_x
_atom_site_fract_y
_atom_site_fract_z
Li1 0.000 0.000 0.000
Li2 0.499 0.500 0.155
Zr1 0.500 0.500 0.468
Zr2 0.501 0.500 0.801
Al1 0.000 0.000 0.639
Al2 0.999 0.000 0.296
# - Fermi-level density of states (states/eV per cell) = 4.26
# - offset from the most stable computed form (eV/atom) = 0.000
# - M_tot (μB/f.u.) = 0.00
# - total DFT energy (no corrections) (eV for the cell shown) = -29.72
# - ΔE_f (kJ/mol of atoms) = -21.1
# - theoretical density (g/cm3) = 3.7



# LiZrAl PBE optimized geometry
data_LiZrAl
_chemical_formula_sum 'Li1 Zr1 Al1'
_cell_length_a 4.5613
_cell_length_b 4.5613
_cell_length_c 3.0545
_cell_angle_alpha 90.00
_cell_angle_beta 90.00
_cell_angle_gamma 120.00
_symmetry_space_group_name_H-M 'P -6 m 2'
_symmetry_Int_Tables_number 187
_symmetry_space_group_name_Hall 'P -6 2'
loop_
_atom_site_label
_atom_site_fract_x
_atom_site_fract_y
_atom_site_fract_z
Li1 0.0000 0.0000 0.0000
Zr1 0.6667 0.3333 0.5000
Al1 0.3333 0.6667 0.0000
# - Fermi-level density of states (states/eV per cell) = 3.15
# - offset from the most stable computed form (eV/atom) = 0.069
# - M_tot (μB/f.u.) = 0.00
# - total DFT energy (no corrections) (eV for the cell shown) = -14.66
# - ΔE_f (kJ/mol of atoms) = -14.5
# - theoretical density (g/cm3) = 3.8



# LiZrAl PBE optimized geometry
data_LiZrAl
_chemical_formula_sum 'Li4 Zr4 Al4'
_cell_length_a 9.785
_cell_length_b 4.344
_cell_length_c 5.793
_cell_angle_alpha 90.00
_cell_angle_beta 120.51
_cell_angle_gamma 90.00
_symmetry_space_group_name_H-M 'C 1 2/m 1'
_symmetry_Int_Tables_number 12
loop_
_symmetry_equiv_pos_as_xyz
'x,y,z'
'-x,-y,-z'
'-x,y,-z'
'x,-y,z'
'x+1/2,y+1/2,z'
'-x+1/2,-y+1/2,-z'
'-x+1/2,y+1/2,-z'
'x+1/2,-y+1/2,z'
loop_
_atom_site_label
_atom_site_fract_x
_atom_site_fract_y
_atom_site_fract_z
Li1 0.134 0.000 0.063
Zr1 0.174 0.000 0.615
Al1 0.018 0.500 0.761
# - Fermi-level density of states (states/eV per cell) = 7.02
# - offset from the most stable computed form (eV/atom) = 0.053
# - M_tot (μB/f.u.) = 0.00
# - total DFT energy (no corrections) (eV for the cell shown) = -58.81
# - ΔE_f (kJ/mol of atoms) = -16.0
# - theoretical density (g/cm3) = 3.9



# LiZr3Al PBE optimized geometry
data_LiZr3Al
_chemical_formula_sum 'Li1 Zr3 Al1'
_cell_length_a 4.706
_cell_length_b 4.706
_cell_length_c 4.706
_cell_angle_alpha 90.00
_cell_angle_beta 90.00
_cell_angle_gamma 90.00
_symmetry_space_group_name_H-M 'P m -3 m'
_symmetry_Int_Tables_number 221
_symmetry_space_group_name_Hall '-P 4 2 3'
loop_
_atom_site_label
_atom_site_fract_x
_atom_site_fract_y
_atom_site_fract_z
Li1 0.000 0.000 0.000
Zr1 0.000 0.000 0.500
Al1 0.500 0.500 0.500
# - Fermi-level density of states (states/eV per cell) = 6.52
# - offset from the most stable computed form (eV/atom) = 0.000
# - M_tot (μB/f.u.) = 0.00
# - total DFT energy (no corrections) (eV for the cell shown) = -28.70
# - ΔE_f (kJ/mol of atoms) = 50.2
# - theoretical density (g/cm3) = 4.9



# LiZrAl PBE optimized geometry
data_LiZrAl
_chemical_formula_sum 'Li2 Zr2 Al2'
_cell_length_a 4.867
_cell_length_b 3.242
_cell_length_c 7.821
_cell_angle_alpha 90.00
_cell_angle_beta 107.91
_cell_angle_gamma 90.00
_symmetry_space_group_name_H-M 'P 1 21/m 1'
_symmetry_Int_Tables_number 11
loop_
_symmetry_equiv_pos_as_xyz
'x,y,z'
'-x,-y,-z'
'-x,y+1/2,-z'
'x,-y+1/2,z'
loop_
_atom_site_label
_atom_site_fract_x
_atom_site_fract_y
_atom_site_fract_z
Li1 0.227 0.250 0.456
Zr1 0.419 0.750 0.835
Al1 0.072 0.750 0.147
# - Fermi-level density of states (states/eV per cell) = 3.28
# - offset from the most stable computed form (eV/atom) = 0.059
# - M_tot (μB/f.u.) = 0.00
# - total DFT energy (no corrections) (eV for the cell shown) = -29.37
# - ΔE_f (kJ/mol of atoms) = -15.5
# - theoretical density (g/cm3) = 3.5



# LiZrAl PBE optimized geometry
data_LiZrAl
_chemical_formula_sum 'Li2 Zr2 Al2'
_cell_length_a 3.145
_cell_length_b 5.696
_cell_length_c 6.894
_cell_angle_alpha 78.33
_cell_angle_beta 76.94
_cell_angle_gamma 74.25
_symmetry_space_group_name_H-M 'P -1'
_symmetry_Int_Tables_number 2
loop_
_symmetry_equiv_pos_as_xyz
'x,y,z'
'-x,-y,-z'
loop_
_atom_site_label
_atom_site_fract_x
_atom_site_fract_y
_atom_site_fract_z
Li1 0.156 0.228 0.465
Zr1 0.399 0.359 0.845
Al1 0.133 0.905 0.827
# - Fermi-level density of states (states/eV per cell) = 3.32
# - offset from the most stable computed form (eV/atom) = 0.075
# - M_tot (μB/f.u.) = 0.00
# - total DFT energy (no corrections) (eV for the cell shown) = -29.28
# - ΔE_f (kJ/mol of atoms) = -14.0
# - theoretical density (g/cm3) = 3.6



# LiZrAl PBE optimized geometry
data_LiZrAl
_chemical_formula_sum 'Li2 Zr2 Al2'
_cell_length_a 3.057
_cell_length_b 3.057
_cell_length_c 11.614
_cell_angle_alpha 90.00
_cell_angle_beta 90.00
_cell_angle_gamma 90.00
_symmetry_space_group_name_H-M 'I 4 m m'
_symmetry_Int_Tables_number 107
_symmetry_space_group_name_Hall 'I 4 -2'
loop_
_atom_site_label
_atom_site_fract_x
_atom_site_fract_y
_atom_site_fract_z
Li1 0.000 0.000 0.000
Zr1 0.000 0.000 0.307
Al1 0.000 0.000 0.638
# - Fermi-level density of states (states/eV per cell) = 2.63
# - offset from the most stable computed form (eV/atom) = 0.072
# - M_tot (μB/f.u.) = 0.00
# - total DFT energy (no corrections) (eV for the cell shown) = -29.29
# - ΔE_f (kJ/mol of atoms) = -14.2
# - theoretical density (g/cm3) = 3.8



# LiZrAl PBE optimized geometry
data_LiZrAl
_chemical_formula_sum 'Li4 Zr4 Al4'
_cell_length_a 4.921
_cell_length_b 3.113
_cell_length_c 15.170
_cell_angle_alpha 90.00
_cell_angle_beta 90.00
_cell_angle_gamma 90.00
_symmetry_space_group_name_H-M 'A m m 2'
_symmetry_Int_Tables_number 38
loop_
_symmetry_equiv_pos_as_xyz
'x,y,z'
'-x,-y,z'
'-x,y,z'
'x,-y,z'
'x,y+1/2,z+1/2'
'-x,-y+1/2,z+1/2'
'-x,y+1/2,z+1/2'
'x,-y+1/2,z+1/2'
loop_
_atom_site_label
_atom_site_fract_x
_atom_site_fract_y
_atom_site_fract_z
Li1 0.000 0.000 0.000
Li2 0.000 0.000 0.337
Zr1 0.500 0.000 0.207
Zr2 0.500 0.000 0.540
Al1 0.000 0.000 0.654
Al2 0.500 0.000 0.875
# - Fermi-level density of states (states/eV per cell) = 9.33
# - offset from the most stable computed form (eV/atom) = 0.080
# - M_tot (μB/f.u.) = 0.00
# - total DFT energy (no corrections) (eV for the cell shown) = -58.48
# - ΔE_f (kJ/mol of atoms) = -13.4
# - theoretical density (g/cm3) = 3.6



# LiZrAl PBE optimized geometry
data_LiZrAl
_chemical_formula_sum 'Li1 Zr1 Al1'
_cell_length_a 4.9052
_cell_length_b 4.9052
_cell_length_c 2.8577
_cell_angle_alpha 90.00
_cell_angle_beta 90.00
_cell_angle_gamma 120.00
_symmetry_space_group_name_H-M 'P -6 m 2'
_symmetry_Int_Tables_number 187
_symmetry_space_group_name_Hall 'P -6 2'
loop_
_atom_site_label
_atom_site_fract_x
_atom_site_fract_y
_atom_site_fract_z
Li1 0.0000 0.0000 0.0000
Zr1 0.6667 0.3333 0.5000
Al1 0.3333 0.6667 0.5000
# - Fermi-level density of states (states/eV per cell) = 3.39
# - offset from the most stable computed form (eV/atom) = 0.410
# - M_tot (μB/f.u.) = 0.00
# - total DFT energy (no corrections) (eV for the cell shown) = -13.63
# - ΔE_f (kJ/mol of atoms) = 18.4
# - theoretical density (g/cm3) = 3.5



# LiZrAl PBE optimized geometry
data_LiZrAl
_chemical_formula_sum 'Li2 Zr2 Al2'
_cell_length_a 3.002
_cell_length_b 4.879
_cell_length_c 7.899
_cell_angle_alpha 90.00
_cell_angle_beta 100.28
_cell_angle_gamma 90.00
_symmetry_space_group_name_H-M 'P 1 21/m 1'
_symmetry_Int_Tables_number 11
loop_
_symmetry_equiv_pos_as_xyz
'x,y,z'
'-x,-y,-z'
'-x,y+1/2,-z'
'x,-y+1/2,z'
loop_
_atom_site_label
_atom_site_fract_x
_atom_site_fract_y
_atom_site_fract_z
Li1 0.242 0.250 0.476
Zr1 0.411 0.750 0.876
Al1 0.116 0.750 0.218
# - Fermi-level density of states (states/eV per cell) = 4.89
# - offset from the most stable computed form (eV/atom) = 0.013
# - M_tot (μB/f.u.) = 0.00
# - total DFT energy (no corrections) (eV for the cell shown) = -29.65
# - ΔE_f (kJ/mol of atoms) = -19.9
# - theoretical density (g/cm3) = 3.7



# LiZrAl3 PBE optimized geometry
data_LiZrAl3
_chemical_formula_sum 'Li1 Zr1 Al3'
_cell_length_a 5.279
_cell_length_b 5.279
_cell_length_c 5.279
_cell_angle_alpha 90.00
_cell_angle_beta 90.00
_cell_angle_gamma 90.00
_symmetry_space_group_name_H-M 'P m -3 m'
_symmetry_Int_Tables_number 221
_symmetry_space_group_name_Hall '-P 4 2 3'
loop_
_atom_site_label
_atom_site_fract_x
_atom_site_fract_y
_atom_site_fract_z
Li1 0.000 0.000 0.000
Zr1 0.500 0.500 0.500
Al1 0.000 0.500 0.500
# - Fermi-level density of states (states/eV per cell) = 3.76
# - offset from the most stable computed form (eV/atom) = 0.481
# - M_tot (μB/f.u.) = 0.00
# - total DFT energy (no corrections) (eV for the cell shown) = -18.05
# - ΔE_f (kJ/mol of atoms) = 70.3
# - theoretical density (g/cm3) = 2.0



# LiZrAl PBE optimized geometry
data_LiZrAl
_chemical_formula_sum 'Li4 Zr4 Al4'
_cell_length_a 4.560
_cell_length_b 7.878
_cell_length_c 5.683
_cell_angle_alpha 90.00
_cell_angle_beta 90.00
_cell_angle_gamma 90.00
_symmetry_space_group_name_H-M 'C m c m'
_symmetry_Int_Tables_number 63
_symmetry_space_group_name_Hall '-C 2c 2'
loop_
_atom_site_label
_atom_site_fract_x
_atom_site_fract_y
_atom_site_fract_z
Li1 0.000 0.168 0.250
Zr1 0.000 0.166 0.750
Al1 0.000 0.500 0.000
# - Fermi-level density of states (states/eV per cell) = 2.41
# - offset from the most stable computed form (eV/atom) = 0.048
# - M_tot (μB/f.u.) = 0.00
# - total DFT energy (no corrections) (eV for the cell shown) = -58.87
# - ΔE_f (kJ/mol of atoms) = -16.5
# - theoretical density (g/cm3) = 4.1



What is the formula in the fifth record? LiZrAl



The lowest ΔE_f belongs to which entry? number 1



Among the records above, which one has the lowest theoretical density? LiZrAl3



What is the formula in the second record? LiZrAl